[1]
Computed, not measured: a geometry-optimized CuAgMo2 structure at the GGA-PBEsol level of DFT.

Total DFT energy (no corrections) ... -29.87 eV per cell
Density of states at the Fermi level ... 0.537 states/eV per atom
Formation enthalpy at 0 K ... 0.328 eV/atom
Volume ... 58.7 Å³ per cell
Size of the total moment ... 0.0 μB/cell

a b c (Å): 2.589 4.329 5.269
angles (deg): 90.00 96.62 90.00
Space group Pm (No. 6)
Asymmetric unit:
Cu  0.000  0.000  0.000 (multiplicity 1)
Ag  0.982  0.500  0.746 (multiplicity 1)
Mo  0.386  0.000  0.484 (multiplicity 1)
Mo  0.598  0.500  0.231 (multiplicity 1)

[2]
Computed, not measured: a geometry-optimized Rb4SbRhCl12 structure at the GGA-PBEsol level of DFT.

Total DFT energy (no corrections) ... -64.31 eV per cell
Density of states at the Fermi level ... 0.610 states/eV per atom
Raw formation energy ... -1301 meV per atom
Volume ... 493.0 Å³ per cell
Size of the total moment ... 0.2 μB/cell

a b c (Å): 6.974 6.974 10.137
angles (deg): 90.00 90.00 90.00
Space group P4/mmm (No. 123)
Asymmetric unit:
Rb  0.000  0.500  0.221 (multiplicity 4)
Sb  0.000  0.000  0.500 (multiplicity 1)
Rh  0.500  0.500  0.000 (multiplicity 1)
Cl  0.000  0.000  0.261 (multiplicity 2)
Cl  0.245  0.245  0.500 (multiplicity 4)
Cl  0.264  0.264  0.000 (multiplicity 4)
Cl  0.500  0.500  0.230 (multiplicity 2)

[3]
Computed, not measured: a geometry-optimized TeAs2Ir structure at the GGA-PBEsol level of DFT.

Total DFT energy (no corrections) ... -89.61 eV per cell
Density of states at the Fermi level ... 0.493 states/eV per atom
Raw formation energy ... 290 meV per atom
Volume ... 300.8 Å³ per cell
Size of the total moment ... 0.0 μB/cell

a b c (Å): 5.327 5.632 10.026
angles (deg): 90.00 90.00 90.00
Space group Fmmm (No. 69)
Asymmetric unit:
Te  0.000  0.000  0.000 (multiplicity 4)
As  0.000  0.250  0.250 (multiplicity 8)
Ir  0.000  0.000  0.500 (multiplicity 4)

[4]
Computed, not measured: a geometry-optimized ZnAg2Sb2 structure at the GGA-PBEsol level of DFT.

Total DFT energy (no corrections) ... -32.27 eV per cell
Density of states at the Fermi level ... 0.447 states/eV per atom
Raw formation energy ... 237 meV per atom
Volume ... 217.6 Å³ per cell
Size of the total moment ... 0.0 μB/cell

a b c (Å): 3.744 3.744 15.521
angles (deg): 90.00 90.00 90.00
Space group I4/mmm (No. 139)
Asymmetric unit:
Zn  0.000  0.000  0.000 (multiplicity 2)
Ag  0.000  0.500  0.250 (multiplicity 4)
Sb  0.000  0.000  0.396 (multiplicity 4)

[5]
Computed, not measured: a geometry-optimized HfIr2Ru2 structure at the GGA-PBEsol level of DFT.

Total DFT energy (no corrections) ... -101.53 eV per cell
Density of states at the Fermi level ... 0.959 states/eV per atom
Formation enthalpy at 0 K ... -0.054 eV/atom
Volume ... 161.1 Å³ per cell
Size of the total moment ... 0.0 μB/cell

a b c (Å): 3.584 3.584 12.536
angles (deg): 90.00 90.00 90.00
Space group I4/mmm (No. 139)
Asymmetric unit:
Hf  0.000  0.000  0.000 (multiplicity 2)
Ir  0.000  0.000  0.401 (multiplicity 4)
Ru  0.000  0.500  0.250 (multiplicity 4)

[6]
Computed, not measured: a geometry-optimized HfSF2 structure at the GGA-PBEsol level of DFT.

Total DFT energy (no corrections) ... -104.35 eV per cell
Density of states at the Fermi level ... 0.009 states/eV per atom
Raw formation energy ... -1836 meV per atom
Volume ... 190.9 Å³ per cell
Size of the total moment ... 0.0 μB/cell

a b c (Å): 5.757 5.757 5.757
angles (deg): 90.00 90.00 90.00
Space group Fm-3m (No. 225)
Asymmetric unit:
Hf  0.000  0.000  0.000 (multiplicity 4)
S  0.000  0.000  0.500 (multiplicity 4)
F  0.250  0.250  0.250 (multiplicity 8)

[7]
Computed, not measured: a geometry-optimized CuTePdN2 structure at the GGA-PBEsol level of DFT.

Total DFT energy (no corrections) ... -23.90 eV per cell
Density of states at the Fermi level ... 0.691 states/eV per atom
Raw formation energy ... 1395 meV per atom
Volume ... 77.3 Å³ per cell
Size of the total moment ... 2.9 μB/cell

a b c (Å): 3.750 3.750 5.499
angles (deg): 90.00 90.00 90.00
Space group P4/mmm (No. 123)
Asymmetric unit:
Cu  0.000  0.000  0.000 (multiplicity 1)
Te  0.000  0.000  0.500 (multiplicity 1)
Pd  0.500  0.500  0.500 (multiplicity 1)
N  0.000  0.500  0.000 (multiplicity 2)

[8]
Computed, not measured: a geometry-optimized Sr5Mg3 structure at the GGA-PBEsol level of DFT.

Total DFT energy (no corrections) ... -28.71 eV per cell
Density of states at the Fermi level ... 0.991 states/eV per atom
Formation enthalpy at 0 K ... 0.000 eV/atom
Volume ... 658.9 Å³ per cell
Size of the total moment ... 0.0 μB/cell

a b c (Å): 10.3067 10.3067 7.1627
angles (deg): 90.00 90.00 120.00
Space group P6_3/mcm (No. 193)
Asymmetric unit:
Sr  0.0000  0.2503  0.2500 (multiplicity 6)
Sr  0.3333  0.6667  0.0000 (multiplicity 4)
Mg  0.0000  0.4031  0.7500 (multiplicity 6)

[9]
Computed, not measured: a geometry-optimized AlTcO2F structure at the GGA-PBEsol level of DFT.

Total DFT energy (no corrections) ... -35.06 eV per cell
Density of states at the Fermi level ... 0.176 states/eV per atom
Raw formation energy ... -1456 meV per atom
Volume ... 51.7 Å³ per cell
Size of the total moment ... 4.9 μB/cell

a b c (Å): 3.759 3.759 3.660
angles (deg): 90.00 90.00 90.00
Space group P4/mmm (No. 123)
Asymmetric unit:
Al  0.000  0.000  0.000 (multiplicity 1)
Tc  0.500  0.500  0.500 (multiplicity 1)
O  0.000  0.500  0.000 (multiplicity 2)
F  0.000  0.000  0.500 (multiplicity 1)

[10]
Computed, not measured: a geometry-optimized Zn3RuO structure at the GGA-PBEsol level of DFT.

Total DFT energy (no corrections) ... -20.02 eV per cell
Density of states at the Fermi level ... 0.310 states/eV per atom
Raw formation energy ... 30 meV per atom
Volume ... 64.7 Å³ per cell
Size of the total moment ... 0.0 μB/cell

a b c (Å): 4.015 4.015 4.015
angles (deg): 90.00 90.00 90.00
Space group Pm-3m (No. 221)
Asymmetric unit:
Zn  0.000  0.000  0.500 (multiplicity 3)
Ru  0.500  0.500  0.500 (multiplicity 1)
O  0.000  0.000  0.000 (multiplicity 1)

[11]
Computed, not measured: a geometry-optimized K2EuAgCl6 structure at the GGA-PBEsol level of DFT.

Total DFT energy (no corrections) ... -177.75 eV per cell
Density of states at the Fermi level ... 0.981 states/eV per atom
Raw formation energy ... -1625 meV per atom
Volume ... 1162.0 Å³ per cell
Size of the total moment ... 23.9 μB/cell

a b c (Å): 10.513 10.513 10.513
angles (deg): 90.00 90.00 90.00
Space group Fm-3m (No. 225)
Asymmetric unit:
K  0.250  0.250  0.250 (multiplicity 8)
Eu  0.000  0.000  0.000 (multiplicity 4)
Ag  0.000  0.000  0.500 (multiplicity 4)
Cl  0.000  0.000  0.254 (multiplicity 24)

[12]
Computed, not measured: a geometry-optimized CaTi6H4O14 structure at the GGA-PBEsol level of DFT.

Total DFT energy (no corrections) ... -202.26 eV per cell
Density of states at the Fermi level ... 0.146 states/eV per atom
Volume ... 269.0 Å³ per cell
Size of the total moment ... 0.0 μB/cell

a b c (Å): 3.901 7.720 9.159
angles (deg): 79.67 89.48 82.54
Space group P1 (No. 1)
Asymmetric unit:
Ca  0.000  0.000  0.000 (multiplicity 1)
Ti  0.130  0.478  0.163 (multiplicity 1)
Ti  0.180  0.361  0.855 (multiplicity 1)
Ti  0.196  0.258  0.551 (multiplicity 1)
Ti  0.565  0.730  0.216 (multiplicity 1)
Ti  0.594  0.665  0.892 (multiplicity 1)
Ti  0.633  0.514  0.595 (multiplicity 1)
H  0.043  0.961  0.507 (multiplicity 1)
H  0.385  0.114  0.184 (multiplicity 1)
H  0.417  0.003  0.356 (multiplicity 1)
H  0.441  0.864  0.616 (multiplicity 1)
O  0.065  0.736  0.188 (multiplicity 1)
O  0.102  0.617  0.918 (multiplicity 1)
O  0.139  0.488  0.632 (multiplicity 1)
O  0.167  0.357  0.347 (multiplicity 1)
O  0.183  0.265  0.056 (multiplicity 1)
O  0.197  0.162  0.783 (multiplicity 1)
O  0.269  0.001  0.514 (multiplicity 1)
O  0.501  0.000  0.248 (multiplicity 1)
O  0.538  0.857  0.989 (multiplicity 1)
O  0.569  0.748  0.691 (multiplicity 1)
O  0.590  0.653  0.415 (multiplicity 1)
O  0.622  0.518  0.119 (multiplicity 1)
O  0.657  0.417  0.833 (multiplicity 1)
O  0.693  0.264  0.563 (multiplicity 1)